Computed, not measured: a relaxed structure of MgZr2Cd at the PBEsol level of DFT.

Results
**E_form**: -0.06 eV per atom
**Total magnetic moment**: 0.0000 μB/atom
**Space-group type**: Cm, No. 8
**Energy**: -21.32 eV per cell

a b c (Å): 3.1979 5.3461 5.5553
angles (deg): 110.63 106.73 90.00
Fractional coordinates of all 4 atoms:
1 Mg 0.2415 0.6879 0.4831
2 Zr 0.0026 0.0554 0.0053
3 Zr 0.7542 0.1946 0.5084
4 Cd 0.5016 0.5622 0.0033